No. 1
The following is a PBE-GGA calculation of Sr8CdBi5 after structural relaxation, from Alexandria.

a = 8.8867 Å, b = 8.8867 Å, c = 8.8867 Å
α = 109.36°, β = 109.68°, γ = 109.36°
Last column: magnetic moment on the atom in μB.
Positions (direct):
Sr 0.1200 0.7596 0.5079  0.02
Sr 0.4921 0.6121 0.2517  0.02
Sr 0.6339 0.9077 0.8752  0.02
Sr 0.2738 0.2413 0.3661  0.02
Sr 0.7483 0.2404 0.3604  0.02
Sr 0.9675 0.0923 0.7262  0.02
Sr 0.1248 0.7587 0.0325  0.02
Sr 0.6396 0.3879 0.8800  0.02
Bi 0.3652 0.1131 0.9827  0.00
Bi 0.0173 0.3825 0.1304  0.00
Bi 0.5000 0.0000 0.5000  0.01
Bi 0.8696 0.8869 0.2521  0.00
Bi 0.7479 0.6175 0.6348  0.00
Cd 0.2500 0.5000 0.7500  0.08

Results
* DOS(E_F): 4.3 states/eV/f.u.
* total DFT energy (no corrections): -3.2166 eV per atom
* ΔH_f (0 K): -78 kJ per mole of atoms
* size of the total moment: 1.0 μB per formula unit

No. 2
The following is a PBE-GGA calculation of Sr2CdBi4 after structural relaxation, from Alexandria.

a = 6.9151 Å, b = 6.9151 Å, c = 7.0113 Å
α = 119.20°, β = 119.20°, γ = 90.52°
Positions (direct):
Cd 0.7859 0.7859 0.5715
Bi 0.2856 0.2856 0.0713
Bi 0.2857 0.7856 0.0714
Bi 0.7856 0.2857 0.0714
Bi 0.7859 0.7859 0.0716
Sr 0.7855 0.2858 0.5714
Sr 0.2858 0.7855 0.5714

Results
* DOS(E_F): 3.7 states/eV/f.u.
* total DFT energy (no corrections): -3.2831 eV per atom
* ΔH_f (0 K): -44 kJ per mole of atoms
* size of the total moment: 0.0 μB per formula unit

No. 3
The following is a PBE-GGA calculation of Sr21Cd4Bi18 after structural relaxation, from Alexandria.

a = 13.0128 Å, b = 13.0128 Å, c = 18.4698 Å
α = 88.58°, β = 88.58°, γ = 87.51°
Positions (direct):
Cd 0.9976 0.9976 0.7907
Cd 0.1428 0.3903 0.7537
Cd 0.6097 0.8572 0.2463
Cd 0.1554 0.1554 0.2472
Cd 0.8572 0.6097 0.2463
Cd 0.0024 0.0024 0.2093
Cd 0.8446 0.8446 0.7528
Cd 0.3903 0.1428 0.7537
Sr 0.4030 0.7417 0.1560
Sr 0.1810 0.5055 0.4355
Sr 0.2583 0.5970 0.8440
Sr 0.7361 0.7361 0.0940
Sr 0.0703 0.7585 0.3513
Sr 0.2304 0.9925 0.4242
Sr 0.7696 0.0075 0.5758
Sr 0.2415 0.9297 0.6487
Sr 0.4945 0.8190 0.5645
Sr 0.5091 0.2555 0.0559
Sr 0.4909 0.7445 0.9441
Sr 0.2599 0.0033 0.0618
Sr 0.2639 0.2639 0.9060
Sr 0.5785 0.9276 0.7578
Sr 0.0075 0.7696 0.5758
Sr 0.0724 0.4215 0.2422
Sr 0.8190 0.4945 0.5645
Sr 0.5055 0.1810 0.4355
Sr 0.6788 0.4288 0.3818
Sr 0.0758 0.7495 0.1455
Sr 0.5712 0.3212 0.6182
Sr 0.7417 0.4030 0.1560
Sr 0.5935 0.5935 0.7461
Sr 0.0033 0.2599 0.0618
Sr 0.9967 0.7401 0.9382
Sr 0.7445 0.4909 0.9441
Sr 0.7401 0.9967 0.9382
Sr 0.9297 0.2415 0.6487
Sr 0.4288 0.6788 0.3818
Sr 0.7585 0.0703 0.3513
Sr 0.9925 0.2304 0.4242
Sr 0.2505 0.9242 0.8545
Sr 0.9242 0.2505 0.8545
Sr 0.4215 0.0724 0.2422
Sr 0.2555 0.5091 0.0559
Sr 0.7495 0.0758 0.1455
Sr 0.2546 0.2546 0.5824
Sr 0.3212 0.5712 0.6182
Sr 0.5970 0.2583 0.8440
Sr 0.7454 0.7454 0.4176
Sr 0.9276 0.5785 0.7578
Sr 0.4065 0.4065 0.2539
Bi 0.0794 0.7825 0.7563
Bi 0.4635 0.4635 0.9235
Bi 0.2609 0.2609 0.1167
Bi 0.0719 0.4673 0.6074
Bi 0.4252 0.4252 0.4643
Bi 0.4673 0.0719 0.6074
Bi 0.9206 0.2175 0.2437
Bi 0.1530 0.1530 0.7468
Bi 0.2440 0.7560 0.0000
Bi 0.9510 0.9510 0.4343
Bi 0.9396 0.9396 0.0592
Bi 0.6039 0.2396 0.2563
Bi 0.0604 0.0604 0.9408
Bi 0.2175 0.9206 0.2437
Bi 0.7391 0.7391 0.8833
Bi 0.5327 0.9281 0.3926
Bi 0.7479 0.7479 0.6234
Bi 0.7552 0.2448 0.5000
Bi 0.3961 0.7604 0.7437
Bi 0.2521 0.2521 0.3766
Bi 0.4577 0.0562 0.9081
Bi 0.7604 0.3961 0.7437
Bi 0.7560 0.2440 0.0000
Bi 0.2396 0.6039 0.2563
Bi 0.0490 0.0490 0.5657
Bi 0.5365 0.5365 0.0765
Bi 0.8470 0.8470 0.2532
Bi 0.3822 0.3822 0.7445
Bi 0.9281 0.5327 0.3926
Bi 0.2448 0.7552 0.5000
Bi 0.6178 0.6178 0.2555
Bi 0.9438 0.5423 0.0919
Bi 0.5423 0.9438 0.0919
Bi 0.0562 0.4577 0.9081
Bi 0.5748 0.5748 0.5357
Bi 0.7825 0.0794 0.7563

Results
* DOS(E_F): 1.9 states/eV/f.u.
* total DFT energy (no corrections): -3.3735 eV per atom
* ΔH_f (0 K): -81 kJ per mole of atoms
* size of the total moment: 0.0 μB per formula unit

Question: Which of these has the lowest ΔH_f (0 K)?
Answer: Sr21Cd4Bi18

Question: What is the ΔH_f (0 K) in the third record?
Answer: -81 kJ per mole of atoms